A relaxed Fe3OF5 crystal, computed with GGA+U.

```
Fe3OF5
1.0
6.831 0.000 0.000
0.000 3.176 0.000
-3.392 0.000 10.233
Fe O F
6 2 10
Direct
0.000 0.000 0.000 Fe
0.144 0.500 0.349 Fe
0.341 0.000 0.684 Fe
0.510 0.500 0.022 Fe
0.686 0.000 0.357 Fe
0.845 0.500 0.695 Fe
0.947 0.500 0.895 O
0.983 0.000 0.349 O
0.046 0.000 0.682 F
0.078 0.500 0.148 F
0.280 0.500 0.544 F
0.304 0.000 0.024 F
0.361 0.000 0.348 F
0.409 0.500 0.824 F
0.598 0.500 0.219 F
0.637 0.000 0.689 F
0.721 0.000 0.027 F
0.733 0.500 0.493 F
```

Results
VASP energy	-5.7136	eV/atom
relative energy among the computed polymorphs	0.009	eV/atom
spin magnetization	13.00	μB per formula unit